(1)
The following is a DFT calculation (PBE) of an optimized crystal structure of Na5Hf3S12.

a = 15.5330 Å, b = 15.5330 Å, c = 15.5330 Å
α = 90.00°, β = 90.00°, γ = 90.00°
Closest atoms and distances in Å follow each position.
Space group Ia-3d (No. 230)
Asymmetric unit:
1 Na 0.0000 0.0000 0.0000  6 S 2.93
2 Na 0.0000 0.2500 0.3750  4 S 2.58
3 Hf 0.0000 0.2500 0.1250  4 S 2.55
4 S 0.0167 0.0915 0.6638  1 S 2.49, 1 Hf 2.55, 1 Na 2.58

***

(2)
The following is a DFT calculation (PBE) of an optimized crystal structure of Na3HfS.

a = 5.3264 Å, b = 5.3264 Å, c = 5.3264 Å
α = 90.00°, β = 90.00°, γ = 90.00°
Closest atoms and distances in Å follow each position.
Space group Pm-3m (No. 221)
Asymmetric unit:
1 Na 0.0000 0.0000 0.5000  2 S 2.66
2 Hf 0.5000 0.5000 0.5000  12 Na 3.77
3 S 0.0000 0.0000 0.0000  6 Na 2.66

E above lowest polymorph = 0 meV/atom

***

(3)
The following is a DFT calculation (PBE) of an optimized crystal structure of Na5HfS5.

a = 13.2007 Å, b = 5.3492 Å, c = 7.8246 Å
α = 90.00°, β = 108.17°, γ = 90.00°
Closest atoms and distances in Å follow each position.
Space group C2/m (No. 12)
Asymmetric unit:
1 Na 0.0000 0.0000 0.0000  4 S 2.69-2.83
2 Na 0.1832 0.5000 0.3614  5 S 2.74-2.94
3 Na 0.1978 0.5000 0.8248  5 S 2.75-3.02
4 Hf 0.0000 0.0000 0.5000  6 S 2.53-2.67
5 S 0.0000 0.5000 0.5000  2 Hf 2.67, 2 Na 2.94
6 S 0.1375 0.0000 0.3356  1 Hf 2.53, 5 Na 2.69-2.83
7 S 0.1475 0.0000 0.8037  1 Hf 2.56, 3 Na 2.75-2.83

***

(4)
The following is a DFT calculation (PBE) of an optimized crystal structure of NaHfS3.

a = 4.9627 Å, b = 4.9627 Å, c = 4.9627 Å
α = 90.00°, β = 90.00°, γ = 90.00°
Closest atoms and distances in Å follow each position.
Space group Pm-3m (No. 221)
Asymmetric unit:
1 Na 0.0000 0.0000 0.0000  12 S 3.51
2 Hf 0.5000 0.5000 0.5000  6 S 2.48
3 S 0.0000 0.5000 0.5000  2 Hf 2.48

E above lowest polymorph = 229 meV/atom

***

(5)
The following is a DFT calculation (PBE) of an optimized crystal structure of NaHfS3.

a = 4.6734 Å, b = 4.6734 Å, c = 4.6734 Å
α = 90.00°, β = 90.00°, γ = 90.00°
Closest atoms and distances in Å follow each position.
Space group Pm-3m (No. 221)
Asymmetric unit:
1 Na 0.0000 0.0000 0.0000  6 S 2.34
2 Hf 0.5000 0.5000 0.5000  12 S 3.30
3 S 0.0000 0.0000 0.5000  2 Na 2.34

E above lowest polymorph = 1824 meV/atom

***

(6)
The following is a DFT calculation (PBE) of an optimized crystal structure of Na2Hf2Sb2S.

a = 4.8338 Å, b = 4.8338 Å, c = 16.1481 Å
α = 90.00°, β = 90.00°, γ = 90.00°
Closest atoms and distances in Å follow each position.
Space group I4/mmm (No. 139)
Asymmetric unit:
1 Na 0.0000 0.0000 0.1827  1 S 2.95, 1 Sb 3.17
2 Hf 0.0000 0.5000 0.0000  2 S 2.42
3 Sb 0.0000 0.0000 0.3790  4 Hf 3.11, 1 Na 3.17
4 S 0.0000 0.0000 0.0000  4 Hf 2.42

***

(7)
The following is a DFT calculation (PBE) of an optimized crystal structure of Na2HfSbS4.

a = 6.9776 Å, b = 3.7667 Å, c = 6.9797 Å
α = 90.00°, β = 107.64°, γ = 90.00°
Closest atoms and distances in Å follow each position.
Space group P2/m (No. 10)
Asymmetric unit:
1 Na 0.0000 0.0000 0.0000  6 S 2.97-3.05
2 Na 0.0000 0.5000 0.5000  6 S 2.84-2.89
3 Hf 0.5000 0.0000 0.5000  6 S 2.58-2.62
4 Sb 0.5000 0.5000 0.0000  6 S 2.77
5 S 0.2765 0.0000 0.7349  1 Hf 2.58, 2 Sb 2.77, 2 Na 2.84
6 S 0.2841 0.5000 0.2735  2 Hf 2.62, 1 Sb 2.77, 1 Na 2.89

***

(8)
The following is a DFT calculation (PBE) of an optimized crystal structure of Na2HfSc2S6.

a = 6.4568 Å, b = 11.1386 Å, c = 7.1058 Å
α = 90.00°, β = 107.77°, γ = 90.00°
Closest atoms and distances in Å follow each position.
Space group C2/m (No. 12)
Asymmetric unit:
1 Na 0.0000 0.1680 0.0000  6 S 2.89-2.91
2 Hf 0.0000 0.0000 0.5000  6 S 2.55-2.56
3 Sc 0.0000 0.3333 0.5000  6 S 2.59-2.60
4 S 0.2351 0.1647 0.7123  1 Hf 2.56, 2 Sc 2.59-2.60
5 S 0.2435 0.5000 0.7117  1 Hf 2.55, 2 Sc 2.60

***

| no. | mass density (g/cm³) | ΔE_f (raw) (eV per atom) |
| --- | --- | --- |
| 1 | 3.67 | -0.686 |
| 2 | 3.07 | 0.426 |
| 3 | 2.87 | -1.126 |
| 4 | 4.04 | -1.066 |
| 5 | 4.84 | 0.530 |
| 6 | 5.97 | -0.646 |
| 7 | 4.51 | -0.996 |
| 8 | 3.46 | -1.711 |